Computed, not measured: crystalline Ga2Cu8Pt at its relaxed geometry at the PBE-GGA level of DFT.

a b c (Å): 6.8412 6.8412 4.4137
angles (deg): 106.05 106.05 120.25
Last column: nearest neighbours and their distance in Å.
Fractional positions:
Ga 0.1894 0.8106 0.0000  8 Cu 2.48-2.61
Ga 0.8106 0.1894 0.0000  8 Cu 2.48-2.61
Cu 0.0744 0.0744 0.3099  6 Cu 2.33-2.55, 2 Ga 2.53, 1 Pt 2.53
Cu 0.1733 0.4044 0.8604  5 Cu 2.42-2.64, 2 Ga 2.52-2.61
Cu 0.2847 0.7153 0.5000  2 Ga 2.48, 1 Pt 2.55, 4 Cu 2.63-2.64
Cu 0.4044 0.1733 0.8604  5 Cu 2.42-2.64, 2 Ga 2.52-2.61
Cu 0.5956 0.8267 0.1396  5 Cu 2.42-2.64, 2 Ga 2.52-2.61
Cu 0.7153 0.2847 0.5000  2 Ga 2.48, 1 Pt 2.55, 4 Cu 2.63-2.64
Cu 0.8267 0.5956 0.1396  5 Cu 2.42-2.64, 2 Ga 2.52-2.61
Cu 0.9256 0.9256 0.6901  6 Cu 2.33-2.55, 2 Ga 2.53, 1 Pt 2.53
Pt 0.5000 0.5000 0.5000  8 Cu 2.53-2.72

Output
Symmetry: C2/m, No. 12
Raw total energy: -4.06 eV/atom
Volume: 148 Å³/f.u.



Computed, not measured: crystalline Ga3CuPt at its relaxed geometry at the PBE-GGA level of DFT.

a b c (Å): 4.8338 4.8338 4.8338
angles (deg): 90.00 90.00 90.00
Last column: nearest neighbours and their distance in Å.
Fractional positions:
Ga 0.0000 0.0000 0.5000  2 Pt 2.42
Ga 0.0000 0.5000 0.0000  2 Pt 2.42
Ga 0.5000 0.0000 0.0000  2 Pt 2.42
Cu 0.5000 0.5000 0.5000  12 Ga 3.42
Pt 0.0000 0.0000 0.0000  6 Ga 2.42

Output
Symmetry: Pm-3m, No. 221
Offset from the most stable computed form: 1.83 eV/f.u.
Raw total energy: -3.76 eV/atom
Volume: 113 Å³/f.u.



Computed, not measured: crystalline GaCu4Pt at its relaxed geometry at the PBE-GGA level of DFT.

a b c (Å): 4.8282 4.8282 4.8282
angles (deg): 60.00 60.00 60.00
Last column: nearest neighbours and their distance in Å.
Fractional positions:
Ga 0.0000 0.0000 0.0000  12 Cu 2.83, 4 Pt 2.96
Cu 0.1251 0.6250 0.6250  6 Cu 2.41
Cu 0.6250 0.1251 0.6250  6 Cu 2.41
Cu 0.6250 0.6250 0.1251  6 Cu 2.41
Cu 0.6250 0.6250 0.6250  6 Cu 2.41
Pt 0.2500 0.2500 0.2500  12 Cu 2.83, 4 Ga 2.96

Output
Symmetry: F-43m, No. 216
Offset from the most stable computed form: 0.80 eV/f.u.
Raw total energy: -4.27 eV/atom
Volume: 80 Å³/f.u.